(1)
# La2BOs2, relaxed, DFT PBE-GGA
# * ΔE to the lowest computed polymorph: 657 meV per atom
data_La2BOs2
_symmetry_space_group_name_H-M 'P 4/m b m'
_symmetry_Int_Tables_number 127
_symmetry_space_group_name_Hall '-P 4 2ab'
_cell_length_a 7.694
_cell_length_b 7.694
_cell_length_c 4.154
_cell_angle_alpha 90.00
_cell_angle_beta 90.00
_cell_angle_gamma 90.00
loop_
_atom_site_label
_atom_site_type_symbol
_atom_site_fract_x
_atom_site_fract_y
_atom_site_fract_z
_atom_site_occupancy
La1 La 0.184 0.316 0.000 1
B1 B 0.000 0.000 0.000 1
Os1 Os 0.107 0.607 0.500 1

---

(2)
# LaB3Os, relaxed, DFT PBE-GGA
# * ΔE to the lowest computed polymorph: 3316 meV per atom
data_LaB3Os
_symmetry_space_group_name_H-M 'P m -3 m'
_symmetry_Int_Tables_number 221
_symmetry_space_group_name_Hall '-P 4 2 3'
_cell_length_a 4.267
_cell_length_b 4.267
_cell_length_c 4.267
_cell_angle_alpha 90.00
_cell_angle_beta 90.00
_cell_angle_gamma 90.00
loop_
_atom_site_label
_atom_site_type_symbol
_atom_site_fract_x
_atom_site_fract_y
_atom_site_fract_z
_atom_site_occupancy
La1 La 0.000 0.000 0.000 1
B1 B 0.000 0.000 0.500 1
Os1 Os 0.500 0.500 0.500 1

---

(3)
# La2BOs2, relaxed, DFT PBE-GGA
# * ΔE to the lowest computed polymorph: 0 meV per atom
data_La2BOs2
_symmetry_space_group_name_H-M 'I 4/m m m'
_symmetry_Int_Tables_number 139
_symmetry_space_group_name_Hall '-I 4 2'
_cell_length_a 3.541
_cell_length_b 3.541
_cell_length_c 17.314
_cell_angle_alpha 90.00
_cell_angle_beta 90.00
_cell_angle_gamma 90.00
loop_
_atom_site_label
_atom_site_type_symbol
_atom_site_fract_x
_atom_site_fract_y
_atom_site_fract_z
_atom_site_occupancy
La1 La 0.000 0.000 0.092 1
B1 B 0.000 0.000 0.500 1
Os1 Os 0.000 0.500 0.250 1

---

(4)
# LaBOs2, relaxed, DFT PBE-GGA
# * DFT total energy: -33.33 eV per formula unit
data_LaBOs2
_symmetry_space_group_name_H-M 'I -4 2 d'
_symmetry_Int_Tables_number 122
_symmetry_space_group_name_Hall 'I -4 2bw'
_cell_length_a 4.801
_cell_length_b 4.801
_cell_length_c 14.445
_cell_angle_alpha 90.00
_cell_angle_beta 90.00
_cell_angle_gamma 90.00
loop_
_atom_site_label
_atom_site_type_symbol
_atom_site_fract_x
_atom_site_fract_y
_atom_site_fract_z
_atom_site_occupancy
La1 La 0.000 0.000 0.000 1
B1 B 0.000 0.000 0.500 1
Os1 Os 0.015 0.250 0.625 1